Material: Pr4Bi2TeP
Method: DFT, PBE
State: relaxed

Properties
Its density of states at the Fermi level is 2.00 states/eV per cell. The value obtained for the total DFT energy (no corrections) is -45.1 eV for the cell shown. The formation energy from raw total energies comes out at -9.7 eV per formula unit. The value obtained for the mass density is 7321 kg/m³.

Unit cell a=7.8017 b=4.4853 c=7.8253 alpha=90.00 beta=109.18 gamma=90.00
Last column: nearest neighbours and their distance in Å.
Space group P2/m (No. 10)
Unique sites:
Pr 0.2297 0.0000 0.2292 (multiplicity 2)  2 P 3.06, 3 Bi 3.19-3.32, 1 Te 3.19
Pr 0.2386 0.5000 0.7629 (multiplicity 2)  1 P 3.03, 3 Bi 3.19-3.34, 2 Te 3.20
Bi 0.5000 0.0000 0.0000 (multiplicity 1)  6 Pr 3.19
Bi 0.5000 0.5000 0.5000 (multiplicity 1)  6 Pr 3.32-3.34
Te 0.0000 0.0000 0.5000 (multiplicity 1)  6 Pr 3.19-3.20
P 0.0000 0.5000 0.0000 (multiplicity 1)  6 Pr 3.03-3.06

***

Material: Ac5HIrPb2
Method: DFT, PBE
State: relaxed

Properties
Its density of states at the Fermi level is 27.21 states/eV per cell. The value obtained for the total DFT energy (no corrections) is -179.7 eV for the cell shown. The value obtained for the mass density is 9397 kg/m³.

Unit cell a=4.7119 b=19.4253 c=13.4579 alpha=90.00 beta=90.00 gamma=90.00
Last column: nearest neighbours and their distance in Å.
Space group Cmc2_1 (No. 36)
Unique sites:
Ac 0.0000 0.0041 0.0000 (multiplicity 4)  1 H 2.45
Ac 0.0000 0.1528 0.2612 (multiplicity 4)  1 Ir 2.93
Ac 0.0000 0.1927 0.6208 (multiplicity 4)  1 H 2.56
Ac 0.0000 0.1994 0.9100 (multiplicity 4)  2 Ir 3.06
Ac 0.0000 0.4556 0.2363 (multiplicity 4)  2 H 2.62
H 0.0000 0.0629 0.6546 (multiplicity 4)  4 Ac 2.45-2.62
Ir 0.0000 0.3037 0.2654 (multiplicity 4)  6 Ac 2.93-3.06
Pb 0.0000 0.3776 0.5771 (multiplicity 4)  7 Ac 3.45-3.64
Pb 0.0000 0.3829 0.9484 (multiplicity 4)  7 Ac 3.40-3.62, 2 H 3.79

***

Material: Li2SnSe
Method: DFT, PBE
State: relaxed

Properties
Its density of states at the Fermi level is 0.86 states/eV per cell. The value obtained for the total DFT energy (no corrections) is -13.5 eV for the cell shown. The formation energy from raw total energies comes out at -2.2 eV per formula unit. The value obtained for the mass density is 4510 kg/m³.

Unit cell a=4.5509 b=4.5509 c=3.7612 alpha=90.00 beta=90.00 gamma=90.00
Last column: nearest neighbours and their distance in Å.
Space group P4/mmm (No. 123)
Unique sites:
Li 0.0000 0.5000 0.0000 (multiplicity 2)  4 Se 2.95, 4 Sn 2.95, 4 Li 3.22
Sn 0.0000 0.0000 0.5000 (multiplicity 1)  8 Li 2.95, 4 Se 3.22
Se 0.5000 0.5000 0.5000 (multiplicity 1)  8 Li 2.95, 4 Sn 3.22

***

Material: Ta4Ni3
Method: DFT, PBE
State: relaxed

Properties
Its density of states at the Fermi level is 7.51 states/eV per cell. The value obtained for the total DFT energy (no corrections) is -66.2 eV for the cell shown. The relative energy among the computed polymorphs comes out at 0 meV/atom. The value obtained for the mass density is 14300 kg/m³. The calculation puts the formation energy at -20 kJ/mol of atoms.

Unit cell a=4.8981 b=4.8981 c=5.0292 alpha=90.00 beta=90.00 gamma=120.00
Last column: nearest neighbours and their distance in Å.
Space group P6/mmm (No. 191)
Unique sites:
Ta 0.0000 0.0000 0.2469 (multiplicity 2)  2 Ta 2.48-2.55, 6 Ni 2.76
Ta 0.3333 0.6667 0.0000 (multiplicity 2)  9 Ta 2.83-3.09, 6 Ni 2.88
Ni 0.0000 0.5000 0.5000 (multiplicity 3)  4 Ni 2.45

***

Material: ScTaRu
Method: DFT, PBE
State: relaxed

Properties
Its density of states at the Fermi level is 2.11 states/eV per cell. The value obtained for the total DFT energy (no corrections) is -28.1 eV for the cell shown. The relative energy among the computed polymorphs comes out at 197 meV/atom. The value obtained for the mass density is 10368 kg/m³. The calculation puts the formation energy at -20 kJ/mol of atoms.

Unit cell a=4.4628 b=4.4628 c=3.0361 alpha=90.00 beta=90.00 gamma=120.00
Last column: nearest neighbours and their distance in Å.
Space group P3m1 (No. 156)
Unique sites:
Sc 0.0000 0.0000 0.0000 (multiplicity 1)  3 Ru 2.76, 3 Ta 2.87, 2 Sc 3.04
Ta 0.6667 0.3333 0.4133 (multiplicity 1)  3 Ru 2.69, 3 Sc 2.87
Ru 0.3333 0.6667 0.6706 (multiplicity 1)  3 Ta 2.69, 3 Sc 2.76

***

Material: Nd2MnAg
Method: DFT, PBE
State: relaxed

Properties
Its density of states at the Fermi level is 4.01 states/eV per cell. The value obtained for the total DFT energy (no corrections) is -21.5 eV for the cell shown. The value obtained for the mass density is 7316 kg/m³. The calculation puts the formation energy at 1 kJ/mol of atoms.

Unit cell a=3.6901 b=3.6901 c=7.5228 alpha=90.00 beta=90.00 gamma=90.00
Last column: nearest neighbours and their distance in Å.
Space group P4/mmm (No. 123)
Unique sites:
Nd 0.0000 0.0000 0.2403 (multiplicity 2)  4 Mn 3.17, 4 Ag 3.26
Mn 0.5000 0.5000 0.0000 (multiplicity 1)  8 Nd 3.17
Ag 0.5000 0.5000 0.5000 (multiplicity 1)  8 Nd 3.26

***

Material: LaZnCuAu6
Method: DFT, PBE
State: relaxed

Properties
Its density of states at the Fermi level is 18.07 states/eV per cell. The value obtained for the total DFT energy (no corrections) is -123.5 eV for the cell shown. The value obtained for the mass density is 11646 kg/m³. The calculation puts the formation energy at -10 kJ/mol of atoms.

Unit cell a=7.9623 b=8.9569 c=11.5934 alpha=90.00 beta=90.00 gamma=90.00
Last column: nearest neighbours and their distance in Å.
Space group Imma (No. 74)
Unique sites:
La 0.0000 0.2500 0.1529 (multiplicity 4)  6 Au 2.91-3.05
Zn 0.2500 0.2500 0.7500 (multiplicity 4)  6 Au 2.57-2.62
Cu 0.0000 0.0000 0.5000 (multiplicity 4)  6 Au 2.50-2.53
Au 0.0000 0.2500 0.4036 (multiplicity 4)  2 Cu 2.50
Au 0.0000 0.2500 0.8896 (multiplicity 4)  2 Zn 2.57
Au 0.2396 0.0063 0.8748 (multiplicity 16)  1 Cu 2.53, 1 Zn 2.62

***

Material: K2SrZn
Method: DFT, PBE
State: relaxed

Properties
Its density of states at the Fermi level is 9.28 states/eV per cell. The value obtained for the total DFT energy (no corrections) is -13.2 eV for the cell shown. The value obtained for the mass density is 1874 kg/m³. The calculation puts the formation energy at 18 kJ/mol of atoms.

Unit cell a=4.3428 b=4.3428 c=37.6339 alpha=90.00 beta=90.00 gamma=120.00
Last column: nearest neighbours and their distance in Å.
Space group R-3m (No. 166, hexagonal axes)
Unique sites:
K 0.0000 0.0000 0.2320 (multiplicity 6)  3 Zn 3.51
Sr 0.0000 0.0000 0.0000 (multiplicity 3)  6 Sr 4.34, 6 K 4.56
Zn 0.0000 0.0000 0.5000 (multiplicity 3)  6 K 3.51

***

Respective magnetic moment values: 0.0; 0.0; 0.0; 0.0; 0.0; 3.2; 0.0; 0.0 μB/cell.